A plane-wave DFT calculation with PBE was carried out for an optimized crystal structure of Ba2CdPb3.

Unit cell a=6.8210 b=6.8210 c=8.3519 alpha=125.02 beta=125.02 gamma=44.93
With the nearest neighbours (Å) after each atom.
Positions (direct):
Ba: 0.0000 0.0000 0.0000  7 Pb 3.55-3.80, 2 Cd 3.95
Ba: 0.1051 0.1051 0.6106  7 Pb 3.63-3.83, 3 Cd 3.69-4.06
Cd: 0.3898 0.3898 0.2273  4 Pb 3.06-3.27
Pb: 0.3902 0.3902 0.6039  1 Cd 3.14, 3 Pb 3.24-3.49
Pb: 0.6995 0.6995 0.3813  3 Pb 3.20-3.24, 1 Cd 3.27
Pb: 0.7318 0.7318 0.0306  2 Cd 3.06, 1 Pb 3.20

Computed properties:
E above lowest polymorph	0	meV/atom
formation energy	-0.442	eV per atom
E	-18.536	eV for the cell shown
DOS at the Fermi energy	0.223	states/eV per atom